No. 1
TmSc2Zn | PBE | optimized geometry

Properties
space group = No. 123
crystal system = tetragonal
density = 5.93 g cm⁻³
ΔH_f (0 K) = -0.0693 eV/atom
calculated volume = 90.8 Å³/cell

Cell: 4.558 4.464 4.464 Å, 90.00 90.00 90.00°
Atoms (fractional coordinates):
Sc 0.000 0.500 0.000
Sc 0.000 0.000 0.500
Zn 0.500 0.000 0.000
Tm 0.500 0.500 0.500



No. 2
Tm4ScZn5 | PBE | optimized geometry

Properties
space group = No. 123
crystal system = tetragonal
density = 8.20 g cm⁻³
ΔH_f (0 K) = -0.3514 eV/atom
calculated volume = 212.1 Å³/cell

Cell: 3.486 3.486 17.458 Å, 90.00 90.00 90.00°
Atoms (fractional coordinates):
Tm 0.000 0.000 0.602
Tm 0.000 0.000 0.195
Tm 0.000 0.000 0.805
Tm 0.000 0.000 0.398
Zn 0.500 0.500 0.296
Zn 0.500 0.500 0.910
Zn 0.500 0.500 0.090
Zn 0.500 0.500 0.500
Zn 0.500 0.500 0.704
Sc 0.000 0.000 0.000